Compound: Na2W3O9
Source: the Alexandria database
Functional: PBE with a Hubbard U
Structure: relaxed

Values from the calculation:
density	6.8	g cm⁻³
energy	-96.82	eV for the cell shown

a b c (Å): 5.5499 5.5499 6.8014
angles (deg): 90.00 90.00 120.00
Space group P-3m1 (No. 164)
One atom of each set of equivalent atoms:
Na 0.3333 0.6667 0.1689
W 0.0000 0.0000 0.0000
W 0.3333 0.6667 0.6626
O 0.0000 0.5000 0.5000
O 0.1680 0.3361 0.8376